TlCrO PBE with a Hubbard U optimized geometry; magnetic moment = 7.77 μB per cell; DOS(E_F) = 1.1 states/eV per cell; DFT total energy = -0.2149 Ha/atom; space group = C2/m (12)
1.0
2.996 0.003 0.156
-0.011 2.996 0.156
-1.039 -1.044 12.245
Tl O Cr
2 2 2
Cartesian
0.190 0.191 7.745 Tl
1.756 1.765 4.812 Tl
1.263 1.269 11.267 O
0.683 0.686 1.290 O
-0.224 -0.225 11.010 Cr
2.170 2.181 1.547 Cr